Computed, not measured: a relaxed structure of KTe2IrS at the GGA-PBE level of DFT.

Crystal system: tetragonal
Final energy (eV for the cell shown): -18.6

abc: 5.0848 6.2289 5.0848
angles: 90.00 90.00 90.00
Positions (direct):
Te1 0.0000 0.0000 0.5000
Te2 0.5000 0.0000 0.0000
K1 0.0000 0.5000 0.0000
S1 0.5000 0.5000 0.5000
Ir1 0.0000 0.0000 0.0000